# 1
Density functional theory data (PBE) for a relaxed Ho2Mg2Pd5 crystal.

a b c (Å): 9.2689 9.2689 9.2689
angles (deg): 60.94 133.64 142.72
Element x y z (fractional)
Ho  0.0000  0.0000  0.0000
Ho  0.0000  0.5000  0.5000
Ho  0.0552  0.2516  0.3036
Ho  0.9480  0.7516  0.6964
Mg  0.4570  0.5833  0.0405
Mg  0.4570  0.9164  0.3737
Mg  0.5427  0.0833  0.6263
Mg  0.5427  0.4164  0.9595
Pd  0.0002  0.1406  0.6398
Pd  0.0004  0.4169  0.9143
Pd  0.0004  0.5861  0.0836
Pd  0.0002  0.8604  0.3596
Pd  0.4485  0.2509  0.6976
Pd  0.5008  0.3604  0.3602
Pd  0.5008  0.6406  0.6404
Pd  0.5025  0.0861  0.0857
Pd  0.5025  0.9169  0.9164
Pd  0.5533  0.7509  0.3024

- calculated formation energy (eV per atom) = -0.643

---

# 2
Density functional theory data (PBE) for a relaxed HoMgPd crystal.

a b c (Å): 5.8988 5.8988 5.8988
angles (deg): 145.73 145.73 49.25
Element x y z (fractional)
Ho  0.0000  0.0000  0.0000
Mg  0.7120  0.7120  0.0000
Pd  0.3464  0.3464  0.0000

- calculated formation energy (eV per atom) = -0.563

---

# 3
Density functional theory data (PBE) for a relaxed Ho2MgPd3 crystal.

a b c (Å): 3.3956 3.3956 10.2218
angles (deg): 90.00 90.00 90.00
Element x y z (fractional)
Ho  0.0000  0.0000  0.1779
Ho  0.0000  0.0000  0.8221
Mg  0.0000  0.0000  0.5000
Pd  0.5000  0.5000  0.0000
Pd  0.5000  0.5000  0.3505
Pd  0.5000  0.5000  0.6495

- polymorph energy (0 for the lowest one) (eV per atom) = 0.008
- calculated formation energy (eV per atom) = -0.840

---

# 4
Density functional theory data (PBE) for a relaxed Ho3Mg4Pd4 crystal.

a b c (Å): 8.6474 8.6474 8.6474
angles (deg): 153.94 124.24 62.55
Element x y z (fractional)
Ho  0.0000  0.0000  0.0000
Ho  0.3855  0.8855  0.5000
Ho  0.6145  0.1145  0.5000
Mg  0.0194  0.3281  0.6913
Mg  0.3632  0.6719  0.6913
Mg  0.6368  0.3281  0.3087
Mg  0.9806  0.6719  0.3087
Pd  0.2369  0.2369  0.0000
Pd  0.3060  0.5000  0.8060
Pd  0.6940  0.5000  0.1940
Pd  0.7631  0.7631  0.0000

- calculated formation energy (eV per atom) = -0.654

---

# 5
Density functional theory data (PBE) for a relaxed Ho3Mg2Pd3 crystal.

a b c (Å): 10.6510 10.6510 10.6510
angles (deg): 161.52 152.96 32.96
Element x y z (fractional)
Ho  0.0000  0.0000  0.0000
Ho  0.3806  0.8806  0.5000
Ho  0.6194  0.1194  0.5000
Mg  0.2302  0.2302  0.0000
Mg  0.7698  0.7698  0.0000
Pd  0.1207  0.6207  0.5000
Pd  0.5000  0.5000  0.0000
Pd  0.8793  0.3793  0.5000

- polymorph energy (0 for the lowest one) (eV per atom) = 0.077
- calculated formation energy (eV per atom) = -0.662

---

# 6
Density functional theory data (PBE) for a relaxed Ho3MgPd4 crystal.

a b c (Å): 8.2874 8.2874 8.2874
angles (deg): 153.90 133.86 53.78
Element x y z (fractional)
Ho  0.0000  0.0000  0.0000
Ho  0.3005  0.8005  0.5000
Ho  0.6995  0.1995  0.5000
Mg  0.5000  0.5000  0.0000
Pd  0.0855  0.3747  0.7109
Pd  0.3362  0.6253  0.7109
Pd  0.6638  0.3747  0.2891
Pd  0.9145  0.6253  0.2891

- polymorph energy (0 for the lowest one) (eV per atom) = 0.145
- calculated formation energy (eV per atom) = -0.715

---

# 7
Density functional theory data (PBE) for a relaxed HoMgPd4 crystal.

a b c (Å): 5.1235 5.1235 6.2089
angles (deg): 108.39 108.39 42.89
Element x y z (fractional)
Ho  0.0000  0.0000  0.0000
Mg  0.0000  0.0000  0.5000
Pd  0.3330  0.3330  0.1828
Pd  0.3391  0.3391  0.6554
Pd  0.6609  0.6609  0.3446
Pd  0.6670  0.6670  0.8172

- calculated formation energy (eV per atom) = -0.680

---

# 8
Density functional theory data (PBE) for a relaxed Ho3MgPd4 crystal.

a b c (Å): 4.8814 4.8814 6.7649
angles (deg): 90.00 90.00 90.00
Element x y z (fractional)
Ho  0.0000  0.0000  0.0000
Ho  0.0000  0.0000  0.5000
Ho  0.5000  0.5000  0.0000
Mg  0.5000  0.5000  0.5000
Pd  0.0000  0.5000  0.2539
Pd  0.0000  0.5000  0.7461
Pd  0.5000  0.0000  0.2539
Pd  0.5000  0.0000  0.7461

- polymorph energy (0 for the lowest one) (eV per atom) = 0.000
- calculated formation energy (eV per atom) = -0.860

---

# 9
Density functional theory data (PBE) for a relaxed Ho4Mg3Pd crystal.

a b c (Å): 3.6758 3.6758 14.9416
angles (deg): 90.00 90.00 90.00
Element x y z (fractional)
Ho  0.0000  0.0000  0.1087
Ho  0.0000  0.0000  0.3701
Ho  0.0000  0.0000  0.6299
Ho  0.0000  0.0000  0.8913
Mg  0.5000  0.5000  0.2418
Mg  0.5000  0.5000  0.5000
Mg  0.5000  0.5000  0.7582
Pd  0.5000  0.5000  0.0000

- calculated formation energy (eV per atom) = -0.278

---

# 10
Density functional theory data (PBE) for a relaxed Ho2MgPd6 crystal.

a b c (Å): 7.9599 7.9599 3.3260
angles (deg): 101.67 101.67 59.08
Element x y z (fractional)
Ho  0.1577  0.1577  0.1561
Ho  0.8423  0.8423  0.8439
Mg  0.5000  0.5000  0.5000
Pd  0.1260  0.5413  0.3348
Pd  0.2363  0.7637  0.0000
Pd  0.4587  0.8740  0.6652
Pd  0.5413  0.1260  0.3348
Pd  0.7637  0.2363  0.0000
Pd  0.8740  0.4587  0.6652

- calculated formation energy (eV per atom) = -0.542

---

# 11
Density functional theory data (PBE) for a relaxed HoMg4Pd2 crystal.

a b c (Å): 8.9427 8.9427 3.6707
angles (deg): 90.00 90.00 90.00
Element x y z (fractional)
Ho  0.0000  0.0000  0.0000
Ho  0.5000  0.5000  0.5000
Mg  0.0911  0.3263  0.5000
Mg  0.1737  0.5911  0.0000
Mg  0.3263  0.0911  0.5000
Mg  0.4089  0.8263  0.0000
Mg  0.5911  0.1737  0.0000
Mg  0.6737  0.9089  0.5000
Mg  0.8263  0.4089  0.0000
Mg  0.9089  0.6737  0.5000
Pd  0.1799  0.8201  0.5000
Pd  0.3201  0.3201  0.0000
Pd  0.6799  0.6799  0.0000
Pd  0.8201  0.1799  0.5000

- polymorph energy (0 for the lowest one) (eV per atom) = 0.000
- calculated formation energy (eV per atom) = -0.497

---

# 12
Density functional theory data (PBE) for a relaxed HoMgPd6 crystal.

a b c (Å): 4.0579 4.0579 8.0387
angles (deg): 90.00 90.00 90.00
Element x y z (fractional)
Ho  0.0000  0.0000  0.0000
Mg  0.0000  0.0000  0.5000
Pd  0.0000  0.5000  0.2591
Pd  0.0000  0.5000  0.7409
Pd  0.5000  0.0000  0.2591
Pd  0.5000  0.0000  0.7409
Pd  0.5000  0.5000  0.0000
Pd  0.5000  0.5000  0.5000

- calculated formation energy (eV per atom) = -0.672